First-principles (PBE) data for a relaxed ZrRe2RuBr crystal, as listed in Alexandria via LeMat-Bulk.

a = 4.8550 Å, b = 4.8550 Å, c = 5.0458 Å
α = 90.00°, β = 90.00°, γ = 90.00°
Last column: nearest neighbours and their distance in Å.
Space group P4/mmm (No. 123)
Symmetry-distinct sites (fractional):
1 Zr 0.0000 0.0000 0.0000 [1 per cell]  4 Re 2.43, 2 Br 2.52
2 Re 0.0000 0.5000 0.0000 [2 per cell]  2 Zr 2.43
3 Ru 0.5000 0.5000 0.5000 [1 per cell]  4 Br 3.43, 8 Re 3.50
4 Br 0.0000 0.0000 0.5000 [1 per cell]  2 Zr 2.52

Output
- Crystal system: tetragonal
- Raw total energy: -6.4202 eV per atom